{
  "formula": "MgIn2Ir",
  "functional": "GGA-PBE",
  "state": "relaxed",
  "lattice": [[3.1356, 0.0055, 0.0000], [-0.0051, 3.1356, 0.0000], [0.0000, 0.0000, 8.4303]],
  "species": ["In", "In", "Ir", "Mg"],
  "frac_coords": [[0.0000, 0.0000, 0.9944], [0.5000, 0.5000, 0.3037], [0.0000, 0.0000, 0.5078], [0.5000, 0.5000, 0.6940]],
  "final_energy_ev_per_atom": -4.096,
  "rho_g_cm3": 8.94,
  "formation_enthalpy_0k_kj_per_mol_atoms": -10.9
}

---

{
  "formula": "Nd4MgPb5",
  "functional": "GGA-PBE",
  "state": "relaxed",
  "lattice": [[-0.3566, -5.7586, -3.0292], [6.5866, -2.3582, -3.3017], [1.6432, -6.1218, 4.4350]],
  "species": ["Nd", "Nd", "Nd", "Nd", "Pb", "Pb", "Pb", "Pb", "Pb", "Mg"],
  "frac_coords": [[0.5489, 0.6096, 0.2176], [0.1585, 0.2176, 0.3904], [0.7665, 0.7824, 0.6096], [0.3761, 0.3904, 0.7824], [0.6454, 0.0000, 0.0000], [0.2357, 0.8248, 0.6302], [0.8659, 0.3698, 0.8248], [0.6907, 0.1752, 0.3698], [0.0606, 0.6302, 0.1752], [0.1619, 0.0000, 0.0000]],
  "final_energy_ev_per_atom": -4.203,
  "rho_g_cm3": 8.47,
  "formation_enthalpy_0k_kj_per_mol_atoms": -27.3
}

---

{
  "formula": "Cd2CoRe",
  "functional": "GGA-PBE",
  "state": "relaxed",
  "lattice": [[-3.3883, -0.9640, -3.1820], [-3.1190, -2.4926, 2.5679], [1.8462, 4.2473, 1.0427]],
  "species": ["Re", "Cd", "Cd", "Co"],
  "frac_coords": [[0.7500, 0.2500, 0.5000], [0.2500, 0.7500, 0.5000], [0.0000, 0.0000, 0.0000], [0.5000, 0.5000, 0.0000]],
  "final_energy_ev_per_atom": -4.622,
  "rho_g_cm3": 11.90,
  "formation_enthalpy_0k_kj_per_mol_atoms": 69.9,
  "relative_energy_kj_per_mol_atoms": 48.21
}

---

{
  "formula": "PmZn2Pt4",
  "functional": "GGA-PBE",
  "state": "relaxed",
  "lattice": [[-5.2401, 0.4816, -0.3265], [-3.1289, -4.3232, 1.2731], [-2.7715, 1.6999, 4.4194]],
  "species": ["Pt", "Pt", "Pt", "Pt", "Pm", "Zn", "Zn"],
  "frac_coords": [[0.7015, 0.5970, 0.0000], [0.7015, 0.0000, 0.5970], [0.2985, 0.4030, 0.0000], [0.2985, 0.0000, 0.4030], [0.0000, 0.0000, 0.0000], [0.2500, 0.5000, 0.5000], [0.7500, 0.5000, 0.5000]],
  "final_energy_ev_per_atom": -5.167,
  "rho_g_cm3": 14.37,
  "formation_enthalpy_0k_kj_per_mol_atoms": -64.9
}

---

{
  "formula": "InHg12Pb7",
  "functional": "GGA-PBE",
  "state": "relaxed",
  "lattice": [[-3.3816, 5.3221, 2.1899], [-5.4880, -6.6370, 6.6755], [12.0955, 1.6070, -1.1666]],
  "species": ["Hg", "Hg", "Hg", "Hg", "Hg", "Hg", "Hg", "Hg", "Hg", "Hg", "Hg", "Hg", "Pb", "Pb", "Pb", "Pb", "Pb", "Pb", "Pb", "In"],
  "frac_coords": [[0.1924, 0.4044, 0.2016], [0.6649, 0.8154, 0.4378], [0.3351, 0.1846, 0.5622], [0.3000, 0.5750, 0.7829], [0.8659, 0.2165, 0.6100], [0.0554, 0.2979, 0.3774], [0.1341, 0.7835, 0.3900], [0.7901, 0.1123, 0.8050], [0.9446, 0.7021, 0.6226], [0.7000, 0.4250, 0.2171], [0.2099, 0.8877, 0.1950], [0.8076, 0.5956, 0.7984], [0.7197, 0.8956, 0.2180], [0.5000, 0.0000, 0.0000], [0.2803, 0.1044, 0.7820], [0.5577, 0.2876, 0.3823], [0.2706, 0.5190, 0.0238], [0.4423, 0.7124, 0.6177], [0.7294, 0.4810, 0.9762], [0.0000, 0.0000, 0.0000]],
  "final_energy_ev_per_atom": -1.581,
  "rho_g_cm3": 11.73,
  "formation_enthalpy_0k_kj_per_mol_atoms": 3.4
}

---

{
  "formula": "SrReN3",
  "functional": "GGA-PBE",
  "state": "relaxed",
  "lattice": [[5.6551, -0.0003, -0.0001], [-1.5910, 3.9325, 0.0001], [-2.0374, 1.4638, 6.7459]],
  "species": ["N", "N", "N", "N", "N", "N", "Sr", "Sr", "Re", "Re"],
  "frac_coords": [[0.6879, 0.2100, 0.1568], [0.0507, 0.9773, 0.9850], [0.5688, 0.9389, 0.5799], [0.4415, 0.8009, 0.7286], [0.1944, 0.3113, 0.4608], [0.0833, 0.9031, 0.1661], [0.3871, 0.5801, 0.1159], [0.7347, 0.4171, 0.7894], [0.1704, 0.8111, 0.4371], [0.8246, 0.1501, 0.4134]],
  "formation_energy_uncorrected_mev_per_atom": -299,
  "final_energy_ev_per_atom": -8.120,
  "rho_g_cm3": 6.99
}

---

{
  "formula": "PrNdTeSe",
  "functional": "GGA-PBE",
  "state": "relaxed",
  "lattice": [[-1.0732, 4.0777, 3.3116], [-3.3335, -0.7133, 4.1383], [1.9138, -0.0387, 5.0082]],
  "species": ["Se", "Nd", "Pr", "Te"],
  "frac_coords": [[0.2500, 0.2500, 0.2500], [0.5000, 0.5000, 0.5000], [0.0000, 0.0000, 0.0000], [0.7500, 0.7500, 0.7500]],
  "formation_energy_uncorrected_mev_per_atom": -1452,
  "final_energy_ev_per_atom": -5.496,
  "rho_g_cm3": 7.49,
  "relative_energy_kj_per_mol_atoms": 19.02
}

---

{
  "formula": "Na2U2O7",
  "functional": "GGA-PBE",
  "state": "relaxed",
  "lattice": [[7.9377, 0.0000, 0.0000], [0.0000, 6.5668, 0.0134], [0.0000, 2.4551, 6.4828]],
  "species": ["U", "U", "U", "U", "O", "O", "O", "O", "O", "O", "O", "O", "O", "O", "O", "O", "O", "O", "Na", "Na", "Na", "Na"],
  "frac_coords": [[0.5045, 0.9987, 0.0190], [0.7574, 0.9973, 0.5312], [0.2574, 0.0027, 0.4688], [0.0045, 0.0013, 0.9810], [0.9070, 0.9939, 0.2738], [0.7483, 0.3051, 0.4282], [0.7474, 0.9825, 0.8679], [0.0167, 0.6925, 0.0817], [0.2474, 0.0175, 0.1321], [0.2483, 0.6949, 0.5718], [0.5167, 0.3075, 0.9183], [0.0256, 0.0124, 0.6522], [0.5012, 0.6906, 0.1221], [0.2546, 0.3085, 0.3661], [0.0012, 0.3094, 0.8779], [0.4070, 0.0061, 0.7262], [0.5256, 0.9876, 0.3478], [0.7546, 0.6915, 0.6339], [0.5020, 0.5006, 0.5064], [0.2573, 0.4947, 0.9905], [0.7573, 0.5053, 0.0095], [0.0020, 0.4994, 0.4936]],
  "formation_energy_uncorrected_mev_per_atom": -2828,
  "final_energy_ev_per_atom": -8.276,
  "rho_g_cm3": 6.24,
  "relative_energy_kj_per_mol_atoms": 0.30
}

---

{
  "formula": "LiPaIr",
  "functional": "GGA-PBE",
  "state": "relaxed",
  "lattice": [[4.7318, 0.0000, 0.0000], [-2.3659, 4.5367, 0.7100], [0.0000, -1.0977, 5.0793]],
  "species": ["Pa", "Pa", "Ir", "Ir", "Li", "Li"],
  "frac_coords": [[0.8796, 0.7592, 0.6751], [0.1204, 0.2408, 0.3249], [0.7855, 0.5709, 0.1696], [0.2145, 0.4291, 0.8304], [0.5673, 0.1345, 0.7866], [0.4327, 0.8655, 0.2134]],
  "final_energy_ev_per_atom": -7.178,
  "rho_g_cm3": 12.67,
  "formation_enthalpy_0k_kj_per_mol_atoms": -40.7,
  "relative_energy_kj_per_mol_atoms": 0.00
}

---

{
  "formula": "RbGaB2Cl",
  "functional": "GGA-PBE",
  "state": "relaxed",
  "lattice": [[4.2183, 0.0000, 0.0000], [0.0000, 7.3007, 0.0000], [0.0000, 0.0000, 4.2183]],
  "species": ["Ga", "B", "B", "Rb", "Cl"],
  "frac_coords": [[0.0000, 0.0000, 0.0000], [0.5000, 0.0000, 0.0000], [0.0000, 0.0000, 0.5000], [0.5000, 0.5000, 0.5000], [0.0000, 0.5000, 0.0000]],
  "formation_energy_uncorrected_mev_per_atom": 676,
  "final_energy_ev_per_atom": -3.163,
  "rho_g_cm3": 2.71
}

---

{
  "formula": "Li3AgPd3",
  "functional": "GGA-PBE",
  "state": "relaxed",
  "lattice": [[4.4958, 0.0000, 0.0000], [0.0000, 7.3290, 0.0000], [0.0000, -3.6645, 6.3471]],
  "species": ["Pd", "Pd", "Pd", "Pd", "Pd", "Pd", "Li", "Li", "Li", "Li", "Li", "Li", "Ag", "Ag"],
  "frac_coords": [[0.2500, 0.2393, 0.0364], [0.7500, 0.7607, 0.9636], [0.2500, 0.7972, 0.7607], [0.2500, 0.9636, 0.2028], [0.7500, 0.0364, 0.7972], [0.7500, 0.2028, 0.2393], [0.2500, 0.5450, 0.9179], [0.2500, 0.3729, 0.4550], [0.2500, 0.0821, 0.6271], [0.7500, 0.9179, 0.3729], [0.7500, 0.4550, 0.0821], [0.7500, 0.6271, 0.5450], [0.7500, 0.3333, 0.6667], [0.2500, 0.6667, 0.3333]],
  "final_energy_ev_per_atom": -3.759,
  "rho_g_cm3": 7.11,
  "formation_enthalpy_0k_kj_per_mol_atoms": -29.5,
  "relative_energy_kj_per_mol_atoms": 0.00
}

---

{
  "formula": "Tc5Pb3",
  "functional": "GGA-PBE",
  "state": "relaxed",
  "lattice": [[-4.0638, -7.3471, 0.4179], [3.4438, 3.2982, 6.9232], [-4.3588, 2.4674, 0.9928]],
  "species": ["Tc", "Tc", "Tc", "Tc", "Tc", "Tc", "Tc", "Tc", "Tc", "Tc", "Pb", "Pb", "Pb", "Pb", "Pb", "Pb"],
  "frac_coords": [[0.0000, 0.8313, 0.7500], [0.1687, 0.0000, 0.2500], [0.0000, 0.1687, 0.2500], [0.8313, 0.0000, 0.7500], [0.6667, 0.3333, 0.0000], [0.1687, 0.1687, 0.7500], [0.3333, 0.6667, 0.0000], [0.8313, 0.8313, 0.2500], [0.6667, 0.3333, 0.5000], [0.3333, 0.6667, 0.5000], [0.0000, 0.6120, 0.2500], [0.6120, 0.0000, 0.2500], [0.3880, 0.0000, 0.7500], [0.6120, 0.6120, 0.7500], [0.0000, 0.3880, 0.7500], [0.3880, 0.3880, 0.2500]],
  "final_energy_ev_per_atom": -7.148,
  "rho_g_cm3": 11.81,
  "formation_enthalpy_0k_kj_per_mol_atoms": 69.6
}

---

{
  "formula": "CsFe2SnBr8",
  "functional": "GGA-PBE",
  "state": "relaxed",
  "lattice": [[-5.2652, 1.2597, 4.4578], [-4.9167, -4.8808, 1.0883], [2.1997, -5.1221, 9.5619]],
  "species": ["Br", "Br", "Br", "Br", "Br", "Br", "Br", "Br", "Cs", "Fe", "Fe", "Sn"],
  "frac_coords": [[0.8249, 0.8249, 0.5253], [0.5953, 0.2891, 0.1717], [0.2891, 0.9439, 0.1717], [0.9439, 0.5953, 0.1717], [0.4047, 0.7109, 0.8283], [0.0561, 0.4047, 0.8283], [0.7109, 0.0561, 0.8283], [0.1751, 0.1751, 0.4747], [0.5000, 0.5000, 0.5000], [0.2513, 0.2513, 0.2460], [0.7487, 0.7487, 0.7540], [0.0000, 0.0000, 0.0000]],
  "formation_energy_uncorrected_mev_per_atom": -788,
  "final_energy_ev_per_atom": -3.719,
  "rho_g_cm3": 3.79
}

---

{
  "formula": "Li7Zn2Au",
  "functional": "GGA-PBE",
  "state": "relaxed",
  "lattice": [[4.4230, 0.0000, 0.0000], [-2.2115, 3.8304, 0.0000], [0.0000, 0.0000, 9.7172]],
  "species": ["Au", "Li", "Li", "Li", "Li", "Li", "Li", "Li", "Zn", "Zn"],
  "frac_coords": [[0.0000, 0.0000, 0.0566], [0.6667, 0.3333, 0.9364], [0.3333, 0.6667, 0.9094], [0.3333, 0.6667, 0.1474], [0.6667, 0.3333, 0.5522], [0.3333, 0.6667, 0.3974], [0.0000, 0.0000, 0.7540], [0.0000, 0.0000, 0.3490], [0.6667, 0.3333, 0.2282], [0.3333, 0.6667, 0.6530]],
  "final_energy_ev_per_atom": -2.070,
  "rho_g_cm3": 3.80,
  "formation_enthalpy_0k_kj_per_mol_atoms": -14.3
}

---

{
  "formula": "Sc3OsC4",
  "functional": "GGA-PBE",
  "state": "relaxed",
  "lattice": [[-0.1865, 1.9374, -2.7335], [2.1001, -3.1640, -2.3863], [-6.4295, -1.9367, 1.1261]],
  "species": ["C", "C", "C", "C", "Sc", "Sc", "Sc", "Os"],
  "frac_coords": [[0.3719, 0.2111, 0.7439], [0.3719, 0.5328, 0.7438], [0.6281, 0.4672, 0.2562], [0.6281, 0.7889, 0.2561], [0.1907, 0.1906, 0.3814], [0.0000, 0.5000, 0.0000], [0.8093, 0.8094, 0.6186], [0.5000, 0.0000, 0.0000]],
  "final_energy_ev_per_atom": -8.823,
  "rho_g_cm3": 6.63,
  "formation_enthalpy_0k_kj_per_mol_atoms": -41.8
}

---

{
  "formula": "Y2TlVN",
  "functional": "GGA-PBE",
  "state": "relaxed",
  "lattice": [[4.9647, 0.0000, 0.0000], [0.0000, 4.9647, 0.0000], [0.0000, 0.0000, 3.9931]],
  "species": ["Y", "Y", "V", "N", "Tl"],
  "frac_coords": [[0.0000, 0.5000, 0.0000], [0.5000, 0.0000, 0.0000], [0.0000, 0.0000, 0.5000], [0.0000, 0.0000, 0.0000], [0.5000, 0.5000, 0.5000]],
  "formation_energy_uncorrected_mev_per_atom": -713,
  "final_energy_ev_per_atom": -7.261,
  "rho_g_cm3": 7.54
}

---

{
  "formula": "KPW2",
  "functional": "GGA-PBE",
  "state": "relaxed",
  "lattice": [[4.7938, 0.0000, 0.0000], [0.0000, 4.7938, 0.0000], [2.3969, 2.3969, 8.7245]],
  "species": ["P", "P", "W", "W", "W", "W", "K", "K"],
  "frac_coords": [[0.5000, 0.5000, 0.0000], [0.2500, 0.7500, 0.5000], [0.3230, 0.1250, 0.2500], [0.3750, 0.6770, 0.7500], [0.8750, 0.5730, 0.7500], [0.4270, 0.6250, 0.2500], [0.7500, 0.2500, 0.5000], [0.0000, 0.0000, 0.0000]],
  "final_energy_ev_per_atom": -6.877,
  "rho_g_cm3": 7.25,
  "formation_enthalpy_0k_kj_per_mol_atoms": 118.3,
  "relative_energy_kj_per_mol_atoms": 77.38
}

---

{
  "formula": "Hf3AgO",
  "functional": "GGA-PBE",
  "state": "relaxed",
  "lattice": [[5.0715, 0.0000, 0.0000], [0.0000, 5.0715, 0.0000], [0.0000, 0.0000, 5.0715]],
  "species": ["Ag", "Hf", "Hf", "Hf", "O"],
  "frac_coords": [[0.0000, 0.0000, 0.0000], [0.0000, 0.5000, 0.0000], [0.0000, 0.0000, 0.5000], [0.5000, 0.0000, 0.0000], [0.5000, 0.5000, 0.5000]],
  "formation_energy_uncorrected_mev_per_atom": 1431,
  "final_energy_ev_per_atom": -6.103,
  "rho_g_cm3": 8.39,
  "relative_energy_kj_per_mol_atoms": 227.15
}

---

{
  "formula": "CuPbW2",
  "functional": "GGA-PBE",
  "state": "relaxed",
  "lattice": [[-3.0058, -1.2312, -0.3868], [-0.0800, -0.8009, 3.1705], [-2.6431, 5.9975, 1.4483]],
  "species": ["W", "W", "Cu", "Pb"],
  "frac_coords": [[0.0000, 0.0000, 0.0668], [0.0000, 0.0000, 0.4332], [0.5000, 0.5000, 0.2500], [0.5000, 0.5000, 0.7500]],
  "final_energy_ev_per_atom": -7.530,
  "rho_g_cm3": 14.76,
  "formation_enthalpy_0k_kj_per_mol_atoms": 86.6
}

---

{
  "formula": "KUSnO6",
  "functional": "GGA-PBE",
  "state": "relaxed",
  "lattice": [[5.6128, 0.0000, 0.0000], [-2.8064, 4.8608, 0.0000], [0.0000, 0.0000, 11.9056]],
  "species": ["U", "U", "O", "O", "O", "O", "O", "O", "O", "O", "O", "O", "O", "O", "K", "K", "Sn", "Sn"],
  "frac_coords": [[0.3333, 0.6667, 0.7500], [0.6667, 0.3333, 0.2500], [0.6227, 0.9974, 0.8445], [0.3773, 0.0026, 0.1555], [0.0026, 0.3773, 0.6555], [0.3773, 0.3748, 0.3445], [0.6252, 0.6227, 0.1555], [0.6227, 0.6252, 0.6555], [0.9974, 0.3748, 0.1555], [0.0026, 0.6252, 0.8445], [0.9974, 0.6227, 0.3445], [0.3748, 0.9974, 0.6555], [0.3748, 0.3773, 0.8445], [0.6252, 0.0026, 0.3445], [0.0000, 0.0000, 0.0000], [0.0000, 0.0000, 0.5000], [0.6667, 0.3333, 0.7500], [0.3333, 0.6667, 0.2500]],
  "formation_energy_uncorrected_mev_per_atom": -2050,
  "final_energy_ev_per_atom": -7.176,
  "rho_g_cm3": 5.03
}